## Ti3Be (PBE-GGA)

Data for a geometry-optimized Ti3Be structure.

Energy of formation from the pure elements (meV/atom): -1
SG: P6_3/mmc, No. 194
Spin magnetization (μB per atom): 0.14
E above lowest polymorph (eV/atom): 0.012

Lattice parameters (Å, degrees): 5.5513 5.5513 4.4836 90.00 90.00 120.00
Fractional coordinates of all 8 atoms:
Ti 0.1741 0.3482 0.2500
Ti 0.1741 0.8259 0.2500
Ti 0.3482 0.1741 0.7500
Ti 0.6518 0.8259 0.2500
Ti 0.8259 0.1741 0.7500
Ti 0.8259 0.6518 0.7500
Be 0.3333 0.6667 0.7500
Be 0.6667 0.3333 0.2500